Here is crystalline Sr2HgTe at its relaxed geometry from the Alexandria database. Energies are from PBE.

Lattice parameters (Å, degrees): 8.7467 8.7467 7.4365 53.98 53.98 90.00
Atoms (fractional coordinates):
Sr1 0.6219 0.1250 0.2500
Sr2 0.1281 0.6250 0.2500
Sr3 0.3750 0.3781 0.7500
Sr4 0.8750 0.8719 0.7500
Te1 0.5000 0.5000 0.0000
Te2 0.2500 0.7500 0.5000
Hg1 0.0000 0.0000 0.0000
Hg2 0.7500 0.2500 0.5000

Electronic total energy = -2.52 eV per atom
Calculated volume = 157.9 Å³/f.u.
Offset from the most stable computed form = 181 meV per atom
Density = 5.293 g/cm3
Space group = No. 122



Here is crystalline SrHgTe2 at its relaxed geometry from the Alexandria database. Energies are from PBE.

Lattice parameters (Å, degrees): 7.4875 7.4875 7.4875 38.16 38.16 38.16
Atoms (fractional coordinates):
Hg1 0.5225 0.5225 0.5225
Sr1 0.7494 0.7494 0.7494
Te1 0.0078 0.0078 0.0078
Te2 0.2203 0.2203 0.2203

Electronic total energy = -2.66 eV per atom
Calculated volume = 143.9 Å³/f.u.
Density = 6.270 g/cm3
Space group = No. 160



Here is crystalline SrHgTe2 at its relaxed geometry from the Alexandria database. Energies are from PBE.

Lattice parameters (Å, degrees): 7.8355 7.8355 7.8355 34.21 34.21 34.21
Atoms (fractional coordinates):
Hg1 0.2500 0.2500 0.2500
Sr1 0.7500 0.7500 0.7500
Te1 0.9918 0.9918 0.9918
Te2 0.5082 0.5082 0.5082

Electronic total energy = -2.81 eV per atom
Calculated volume = 135.6 Å³/f.u.
Density = 6.655 g/cm3
Space group = No. 166



Here is crystalline SrHgTe2 at its relaxed geometry from the Alexandria database. Energies are from PBE.

Lattice parameters (Å, degrees): 6.8088 6.8513 12.0902 89.61 90.00 90.00
Atoms (fractional coordinates):
Sr1 0.2540 0.9801 0.3761
Sr2 0.7460 0.0199 0.6239
Sr3 0.2540 0.5199 0.1239
Sr4 0.7460 0.4801 0.8761
Hg1 0.1365 0.6240 0.6187
Hg2 0.8635 0.3760 0.3813
Hg3 0.1365 0.8760 0.8813
Hg4 0.8635 0.1240 0.1187
Te1 0.7279 0.9787 0.8990
Te2 0.2721 0.0213 0.1010
Te3 0.7279 0.5213 0.6010
Te4 0.2721 0.4787 0.3990
Te5 0.7551 0.5238 0.1496
Te6 0.2449 0.4762 0.8504
Te7 0.7551 0.9762 0.3504
Te8 0.2449 0.0238 0.6496

Electronic total energy = -2.89 eV per atom
Calculated volume = 141.0 Å³/f.u.
Density = 6.400 g/cm3
Space group = No. 13



Here is crystalline SrHg3Te at its relaxed geometry from the Alexandria database. Energies are from PBE.

Lattice parameters (Å, degrees): 5.7579 5.7579 5.7579 90.00 90.00 90.00
Atoms (fractional coordinates):
Sr1 0.5000 0.5000 0.5000
Te1 0.0000 0.0000 0.0000
Hg1 0.0000 0.5000 0.0000
Hg2 0.0000 0.0000 0.5000
Hg3 0.5000 0.0000 0.0000

Electronic total energy = -1.10 eV per atom
Calculated volume = 190.9 Å³/f.u.
Offset from the most stable computed form = 0 meV per atom
Density = 7.107 g/cm3
Space group = No. 221



Here is crystalline SrHgTe2 at its relaxed geometry from the Alexandria database. Energies are from PBE.

Lattice parameters (Å, degrees): 6.2325 6.2325 6.2325 133.84 133.76 67.40
Atoms (fractional coordinates):
Hg1 0.7500 0.2500 0.5000
Sr1 0.2500 0.7500 0.5000
Te1 0.0001 0.0001 0.0000
Te2 0.4999 0.4999 0.0000

Electronic total energy = -2.75 eV per atom
Calculated volume = 124.0 Å³/f.u.
Density = 7.277 g/cm3
Space group = No. 139



Here is crystalline Sr2HgTe at its relaxed geometry from the Alexandria database. Energies are from PBE.

Lattice parameters (Å, degrees): 5.7874 5.7874 5.7874 60.00 60.00 60.00
Atoms (fractional coordinates):
Hg1 0.5000 0.5000 0.5000
Sr1 0.0000 0.0000 0.0000
Sr2 0.2500 0.2500 0.2500
Te1 0.7500 0.7500 0.7500

Electronic total energy = -2.14 eV per atom
Calculated volume = 137.1 Å³/f.u.
Offset from the most stable computed form = 566 meV per atom
Density = 6.099 g/cm3
Space group = No. 216



Here is crystalline SrHgTe2 at its relaxed geometry from the Alexandria database. Energies are from PBE.

Lattice parameters (Å, degrees): 8.8704 8.8704 8.8704 34.14 34.14 34.14
Atoms (fractional coordinates):
Sr1 0.5000 0.5000 0.5000
Te1 0.8941 0.8941 0.8941
Te2 0.1059 0.1059 0.1059
Hg1 0.0000 0.0000 0.0000

Electronic total energy = -2.92 eV per atom
Calculated volume = 196.0 Å³/f.u.
Density = 4.603 g/cm3
Space group = No. 166



Here is crystalline Sr2HgTe at its relaxed geometry from the Alexandria database. Energies are from PBE.

Lattice parameters (Å, degrees): 8.4325 8.4325 8.4325 150.37 148.79 43.57
Atoms (fractional coordinates):
Hg1 0.7075 0.2075 0.5000
Sr1 0.0397 0.0397 0.0000
Sr2 0.2926 0.7926 0.5000
Te1 0.4603 0.4603 0.0000

Electronic total energy = -2.62 eV per atom
Calculated volume = 153.2 Å³/f.u.
Offset from the most stable computed form = 79 meV per atom
Density = 5.458 g/cm3
Space group = No. 44



Here is crystalline SrHgTe2 at its relaxed geometry from the Alexandria database. Energies are from PBE.

Lattice parameters (Å, degrees): 7.4364 7.4364 4.7588 94.10 94.10 34.93
Atoms (fractional coordinates):
Hg1 0.5438 0.5438 0.4230
Sr1 0.2773 0.2773 0.2288
Te1 0.9591 0.9591 0.1346
Te2 0.7198 0.7198 0.7136

Electronic total energy = -2.90 eV per atom
Calculated volume = 150.3 Å³/f.u.
Density = 6.005 g/cm3
Space group = No. 8



Here is crystalline SrHgTe2 at its relaxed geometry from the Alexandria database. Energies are from PBE.

Lattice parameters (Å, degrees): 7.3086 7.3086 8.3320 63.99 63.99 90.00
Atoms (fractional coordinates):
Sr1 0.5000 0.5000 0.0000
Sr2 0.2500 0.7500 0.5000
Te1 0.6648 0.1250 0.2500
Te2 0.0852 0.6250 0.2500
Te3 0.3750 0.3352 0.7500
Te4 0.8750 0.9148 0.7500
Hg1 0.0000 0.0000 0.0000
Hg2 0.7500 0.2500 0.5000

Electronic total energy = -2.84 eV per atom
Calculated volume = 174.6 Å³/f.u.
Density = 5.170 g/cm3
Space group = No. 122



Here is crystalline SrHgTe4 at its relaxed geometry from the Alexandria database. Energies are from PBE.

Lattice parameters (Å, degrees): 6.5263 6.5263 6.5263 60.00 60.00 60.00
Atoms (fractional coordinates):
Sr1 0.0000 0.0000 0.0000
Hg1 0.7500 0.7500 0.7500
Te1 0.8751 0.3750 0.3750
Te2 0.3750 0.3750 0.8751
Te3 0.3750 0.8751 0.3750
Te4 0.3750 0.3750 0.3750

Electronic total energy = -2.75 eV per atom
Calculated volume = 196.6 Å³/f.u.
Density = 6.747 g/cm3
Space group = No. 216



| no. | raw formation energy (eV per atom) |
| --- | --- |
| 1 | -0.820 |
| 2 | -0.597 |
| 3 | -0.742 |
| 4 | -0.828 |
| 5 | 0.045 |
| 6 | -0.680 |
| 7 | -0.435 |
| 8 | -0.849 |
| 9 | -0.922 |
| 10 | -0.831 |
| 11 | -0.776 |
| 12 | -0.325 |